Model i:
ZrPdSeBr2 at its PBEsol-relaxed geometry. Source: the Alexandria database, functional meta-GGA SCAN.

Magnetization, μB per formula unit: 1.7
Density, g/cm³: 6.078
Symmetry: P4/mmm, No. 123

Lattice parameters (Å, degrees): 4.8647 4.8647 5.0385 90.00 90.00 90.00
Closest atoms and distances in Å follow each position.
Element x y z (fractional)
Br (0.5000, 0.0000, 0.0000)  2 Pd 2.43
Se (0.0000, 0.0000, 0.5000)  2 Pd 2.52
Pd (0.0000, 0.0000, 0.0000)  4 Br 2.43, 2 Se 2.52
Zr (0.5000, 0.5000, 0.5000)  4 Se 3.44, 8 Br 3.50
Br (0.0000, 0.5000, 0.0000)  2 Pd 2.43

=====

Model ii:
ZrPdSeBr2 at its PBEsol-relaxed geometry. Source: the Alexandria database, functional meta-GGA SCAN.

Magnetization, μB per formula unit: 0.2
Density, g/cm³: 5.256
Symmetry: P4/mmm, No. 123

Lattice parameters (Å, degrees): 5.1078 5.1956 5.1956 90.00 90.00 90.00
Closest atoms and distances in Å follow each position.
Element x y z (fractional)
Br (0.0000, 0.5000, 0.0000)  2 Zr 2.60
Se (0.5000, 0.0000, 0.0000)  2 Zr 2.55
Zr (0.0000, 0.0000, 0.0000)  2 Se 2.55, 4 Br 2.60
Br (0.0000, 0.0000, 0.5000)  2 Zr 2.60
Pd (0.5000, 0.5000, 0.5000)  8 Br 3.64, 4 Se 3.67

=====

Stability, lowest: model i

=====

Model i:
PtSe2Br at its PBEsol-relaxed geometry. Source: the Alexandria database, functional meta-GGA SCAN.

Magnetization, μB per formula unit: 0.0
Density, g/cm³: 8.196
Symmetry: C2/m, No. 12

Lattice parameters (Å, degrees): 3.7493 3.8120 7.1029 96.20 90.00 119.46
Closest atoms and distances in Å follow each position.
Element x y z (fractional)
Se (0.1855, 0.3710, 0.1779)  3 Pt 2.50-2.57, 1 Br 2.73
Pt (0.5000, 0.0000, 0.0000)  6 Se 2.50-2.57
Se (0.8145, 0.6290, 0.8221)  3 Pt 2.50-2.57, 1 Br 2.73
Br (0.0000, 0.0000, 0.5000)  2 Se 2.73

=====

Model ii:
PtSe2Br at its PBEsol-relaxed geometry. Source: the Alexandria database, functional meta-GGA SCAN.

Magnetization, μB per formula unit: 0.0
Density, g/cm³: 9.782
Symmetry: P4/mmm, No. 123

Lattice parameters (Å, degrees): 2.9606 4.9823 4.9823 90.00 90.00 90.00
Closest atoms and distances in Å follow each position.
Element x y z (fractional)
Br (0.5000, 0.5000, 0.5000)  8 Se 2.90, 2 Br 2.96
Se (0.0000, 0.0000, 0.5000)  4 Br 2.90, 4 Pt 2.90, 2 Se 2.96
Pt (0.5000, 0.0000, 0.0000)  8 Se 2.90, 2 Pt 2.96
Se (0.0000, 0.5000, 0.0000)  4 Br 2.90, 4 Pt 2.90, 2 Se 2.96

=====

Model iii:
PtSe2Br at its PBEsol-relaxed geometry. Source: the Alexandria database, functional meta-GGA SCAN.

Magnetization, μB per formula unit: 0.0
Density, g/cm³: 8.053
Symmetry: P2/m, No. 10

Lattice parameters (Å, degrees): 3.7312 4.6718 5.3769 107.76 90.00 90.00
Closest atoms and distances in Å follow each position.
Element x y z (fractional)
Se (0.0000, 0.8593, 0.1544)  1 Se 2.41, 2 Pt 2.48
Br (0.5000, 0.5000, 0.5000)  2 Pt 2.69
Pt (0.5000, 0.5000, 0.0000)  4 Se 2.48, 2 Br 2.69
Se (0.0000, 0.1407, 0.8456)  1 Se 2.41, 2 Pt 2.48

=====

Stability, lowest: model ii